No. 1
# LiBeI2O | Alexandria via LeMat-Bulk | GGA-PBE | optimized geometry
data_LiBeI2O
_chemical_formula_sum 'Li1 Be1 I2 O1'
_cell_length_a 6.161
_cell_length_b 6.161
_cell_length_c 3.042
_cell_angle_alpha 90.00
_cell_angle_beta 90.00
_cell_angle_gamma 90.00
_symmetry_space_group_name_H-M 'P 4/m m m'
_symmetry_Int_Tables_number 123
_symmetry_space_group_name_Hall '-P 4 2'
loop_
_atom_site_label
_atom_site_type_symbol
_atom_site_fract_x
_atom_site_fract_y
_atom_site_fract_z
Li1 Li 0.000 0.000 0.000
Be1 Be 0.500 0.500 0.500
I1 I 0.000 0.500 0.500
O1 O 0.500 0.500 0.000
# Electronic total energy, eV per atom: -3.665
# Formation energy from raw total energies, eV per atom: -0.9254
# Distance to the lowest polymorph of the same formula, meV per atom: 0
# Magnetization, μB/f.u.: 0.00



No. 2
# Li2Be2IO6 | Alexandria via LeMat-Bulk | GGA-PBE | optimized geometry
data_Li2Be2IO6
_chemical_formula_sum 'Li2 Be2 I1 O6'
_cell_length_a 5.0219
_cell_length_b 5.0219
_cell_length_c 6.0934
_cell_angle_alpha 90.00
_cell_angle_beta 90.00
_cell_angle_gamma 120.00
_symmetry_space_group_name_H-M 'P -3'
_symmetry_Int_Tables_number 147
_symmetry_space_group_name_Hall '-P 3'
loop_
_atom_site_label
_atom_site_type_symbol
_atom_site_fract_x
_atom_site_fract_y
_atom_site_fract_z
Li1 Li 0.3333 0.6667 0.2882
Be1 Be 0.3333 0.6667 0.8210
I1 I 0.0000 0.0000 0.0000
O1 O 0.0402 0.6954 0.8058
# Electronic total energy, eV per atom: -5.381
# Formation energy from raw total energies, eV per atom: -1.5105
# Magnetization, μB/f.u.: 0.94



No. 3
# LiBeI2O | Alexandria via LeMat-Bulk | GGA-PBE | optimized geometry
data_LiBeI2O
_chemical_formula_sum 'Li1 Be1 I2 O1'
_cell_length_a 5.338
_cell_length_b 5.338
_cell_length_c 3.603
_cell_angle_alpha 90.00
_cell_angle_beta 90.00
_cell_angle_gamma 90.00
_symmetry_space_group_name_H-M 'P 4/m m m'
_symmetry_Int_Tables_number 123
_symmetry_space_group_name_Hall '-P 4 2'
loop_
_atom_site_label
_atom_site_type_symbol
_atom_site_fract_x
_atom_site_fract_y
_atom_site_fract_z
Li1 Li 0.000 0.000 0.000
Be1 Be 0.500 0.500 0.500
I1 I 0.000 0.500 0.000
O1 O 0.000 0.000 0.500
# Electronic total energy, eV per atom: -2.431
# Formation energy from raw total energies, eV per atom: 0.3087
# Distance to the lowest polymorph of the same formula, meV per atom: 1234
# Magnetization, μB/f.u.: 0.00



No. 4
# Li2BeOsI | Alexandria via LeMat-Bulk | GGA-PBE | optimized geometry
data_Li2BeOsI
_chemical_formula_sum 'Li2 Be1 Os1 I1'
_cell_length_a 4.700
_cell_length_b 4.700
_cell_length_c 4.885
_cell_angle_alpha 90.00
_cell_angle_beta 90.00
_cell_angle_gamma 90.00
_symmetry_space_group_name_H-M 'P 4/m m m'
_symmetry_Int_Tables_number 123
_symmetry_space_group_name_Hall '-P 4 2'
loop_
_atom_site_label
_atom_site_type_symbol
_atom_site_fract_x
_atom_site_fract_y
_atom_site_fract_z
Li1 Li 0.000 0.500 0.000
Be1 Be 0.000 0.000 0.500
Os1 Os 0.500 0.500 0.500
I1 I 0.000 0.000 0.000
# Electronic total energy, eV per atom: -2.662
# Formation energy from raw total energies, eV per atom: 1.4044
# Magnetization, μB/f.u.: 1.67



No. 5
# Rb2LiBeI6 | Alexandria via LeMat-Bulk | GGA-PBE | optimized geometry
data_Rb2LiBeI6
_chemical_formula_sum 'Rb4 Li2 Be2 I12'
_cell_length_a 8.042
_cell_length_b 8.042
_cell_length_c 11.410
_cell_angle_alpha 90.00
_cell_angle_beta 90.00
_cell_angle_gamma 90.00
_symmetry_space_group_name_H-M 'I 4/m m m'
_symmetry_Int_Tables_number 139
_symmetry_space_group_name_Hall '-I 4 2'
loop_
_atom_site_label
_atom_site_type_symbol
_atom_site_fract_x
_atom_site_fract_y
_atom_site_fract_z
Rb1 Rb 0.000 0.500 0.250
Li1 Li 0.000 0.000 0.000
Be1 Be 0.000 0.000 0.500
I1 I 0.000 0.000 0.263
I2 I 0.238 0.238 0.500
# Electronic total energy, eV per atom: -2.513
# Formation energy from raw total energies, eV per atom: -0.8254
# Magnetization, μB/f.u.: 0.00



No. 6
# LiBeReI2 | Alexandria via LeMat-Bulk | GGA-PBE | optimized geometry
data_LiBeReI2
_chemical_formula_sum 'Li1 Be1 Re1 I2'
_cell_length_a 5.374
_cell_length_b 5.374
_cell_length_c 5.124
_cell_angle_alpha 90.00
_cell_angle_beta 90.00
_cell_angle_gamma 90.00
_symmetry_space_group_name_H-M 'P 4/m m m'
_symmetry_Int_Tables_number 123
_symmetry_space_group_name_Hall '-P 4 2'
loop_
_atom_site_label
_atom_site_type_symbol
_atom_site_fract_x
_atom_site_fract_y
_atom_site_fract_z
Li1 Li 0.000 0.000 0.000
Be1 Be 0.500 0.500 0.500
Re1 Re 0.000 0.000 0.500
I1 I 0.000 0.500 0.000
# Electronic total energy, eV per atom: -2.667
# Formation energy from raw total energies, eV per atom: 1.5702
# Magnetization, μB/f.u.: 5.27